The following is a DFT calculation (PBE-GGA) of a relaxed structure of Pr2Nb3O10.

Computed properties:
* formation energy (no corrections): -2.78 eV/atom

abc: 9.9492 9.9492 7.7804
angles: 112.26 112.26 34.33
With the nearest neighbours (Å) after each atom.
Element x y z (fractional)
Pr 0.0915 0.0915 0.4588  7 O 2.43-2.67
Pr 0.1824 0.1824 0.0271  4 O 2.31-2.56
Pr 0.8176 0.8176 0.9729  4 O 2.31-2.56
Pr 0.9085 0.9085 0.5412  7 O 2.43-2.67
Nb 0.2465 0.7535 0.0000  6 O 2.01-2.09
Nb 0.3116 0.3116 0.6671  4 O 1.88-2.01
Nb 0.4151 0.4151 0.3247  4 O 1.90-2.04
Nb 0.5849 0.5849 0.6753  4 O 1.90-2.04
Nb 0.6884 0.6884 0.3329  4 O 1.88-2.01
Nb 0.7535 0.2465 0.0000  6 O 2.01-2.09
O 0.0000 0.5000 0.5000  2 Nb 2.00
O 0.0251 0.0251 0.8408  2 Nb 2.08
O 0.0935 0.6099 0.2265  1 Nb 1.90
O 0.1213 0.6594 0.8171  2 Nb 2.01-2.17
O 0.2604 0.7396 0.5000  2 Nb 2.17
O 0.2804 0.2804 0.8683  1 Nb 1.88
O 0.3406 0.8787 0.1829  2 Nb 2.01-2.17
O 0.3835 0.3835 0.5347  2 Nb 1.95-2.01
O 0.3901 0.9065 0.7735  1 Nb 1.90
O 0.4712 0.4712 0.1498  3 Nb 2.04-2.09
O 0.5000 0.0000 0.5000  2 Nb 2.00
O 0.5288 0.5288 0.8502  3 Nb 2.04-2.09
O 0.6099 0.0935 0.2265  1 Nb 1.90
O 0.6165 0.6165 0.4653  2 Nb 1.95-2.01
O 0.6594 0.1213 0.8171  2 Nb 2.01-2.17
O 0.7196 0.7196 0.1317  1 Nb 1.88
O 0.7396 0.2604 0.5000  2 Nb 2.17
O 0.8787 0.3406 0.1829  2 Nb 2.01-2.17
O 0.9065 0.3901 0.7735  1 Nb 1.90
O 0.9749 0.9749 0.1592  2 Nb 2.08



The following is a DFT calculation (PBE-GGA) of a relaxed structure of PuNiRhAu.

Computed properties:
* ΔE_f: -231 meV per atom

abc: 6.5102 6.5102 6.5102
angles: 90.00 90.00 90.00
With the nearest neighbours (Å) after each atom.
Element x y z (fractional)
Pu 0.0000 0.0000 0.0000  4 Ni 2.82, 4 Rh 2.82
Pu 0.0000 0.5000 0.5000  4 Ni 2.82, 4 Rh 2.82
Pu 0.5000 0.0000 0.5000  4 Ni 2.82, 4 Rh 2.82
Pu 0.5000 0.5000 0.0000  4 Ni 2.82, 4 Rh 2.82
Ni 0.2500 0.2500 0.2500  4 Pu 2.82, 4 Au 2.82
Ni 0.2500 0.7500 0.7500  4 Pu 2.82, 4 Au 2.82
Ni 0.7500 0.2500 0.7500  4 Pu 2.82, 4 Au 2.82
Ni 0.7500 0.7500 0.2500  4 Pu 2.82, 4 Au 2.82
Rh 0.2500 0.2500 0.7500  4 Pu 2.82, 4 Au 2.82
Rh 0.2500 0.7500 0.2500  4 Pu 2.82, 4 Au 2.82
Rh 0.7500 0.2500 0.2500  4 Pu 2.82, 4 Au 2.82
Rh 0.7500 0.7500 0.7500  4 Pu 2.82, 4 Au 2.82
Au 0.0000 0.0000 0.5000  4 Rh 2.82, 4 Ni 2.82
Au 0.0000 0.5000 0.0000  4 Rh 2.82, 4 Ni 2.82
Au 0.5000 0.0000 0.0000  4 Rh 2.82, 4 Ni 2.82
Au 0.5000 0.5000 0.5000  4 Rh 2.82, 4 Ni 2.82



The following is a DFT calculation (PBE-GGA) of a relaxed structure of LiLa3O.

Computed properties:
* formation energy (no corrections): -1.06 eV/atom
* ΔE to the lowest computed polymorph: 0 meV per atom

abc: 5.1027 5.1027 5.1027
angles: 90.00 90.00 90.00
With the nearest neighbours (Å) after each atom.
Element x y z (fractional)
Li 0.0000 0.0000 0.0000  12 La 3.61
La 0.0000 0.5000 0.5000  2 O 2.55
La 0.5000 0.0000 0.5000  2 O 2.55
La 0.5000 0.5000 0.0000  2 O 2.55
O 0.5000 0.5000 0.5000  6 La 2.55



Calculated spin magnetization in order - 0.0, 18.5, 0.0 μB/cell
Calculated E_tot in order - -8.738, -7.917, -5.394 eV per atom